# 1
LaSm2Tm9: relaxed, PBE.

The structure belongs to space group P4/mmm (No. 123); the cell edges are 4.998, 4.998 and 15.006 Å and the angles 90.00°, 90.00° and 90.00°. The distinct sites, in fractional coordinates, are La at (0.000, 0.000, 0.000), Sm at (0.000, 0.000, 0.334), Tm at (0.000, 0.500, 0.170), Tm at (0.000, 0.500, 0.500), Tm at (0.500, 0.500, 0.000) and Tm at (0.500, 0.500, 0.335).

The calculation puts the magnetization at 0.00 μB per cell. The value obtained for the theoretical density is 8.684 g cm⁻³. The calculation puts the energy above the most stable polymorph in this dataset at 0 meV/atom.



# 2
Sn3MoP: relaxed, PBE.

The structure belongs to space group Pm-3m (No. 221); the cell edges are 5.093, 5.093 and 5.093 Å and the angles 90.00°, 90.00° and 90.00°. The distinct sites, in fractional coordinates, are Sn at (0.000, 0.000, 0.500), Mo at (0.500, 0.500, 0.500) and P at (0.000, 0.000, 0.000).

The calculation puts the magnetization at 3.67 μB per cell. As for the uncorrected energy: -22.881 eV/cell. The value obtained for the theoretical density is 6.073 g cm⁻³.



# 3
PaTcSb2O8: relaxed, PBE.

The structure belongs to space group P-1 (No. 2); the cell edges are 5.213, 5.217 and 6.544 Å and the angles 87.88°, 87.97° and 88.21°. The distinct sites, in fractional coordinates, are Pa at (0.000, 0.000, 0.000), Tc at (0.000, 0.000, 0.500), Sb at (0.492, 0.491, 0.253), O at (0.164, 0.786, 0.251), O at (0.216, 0.839, 0.749), O at (0.235, 0.238, 0.448) and O at (0.318, 0.320, 0.020).

The calculation puts the magnetization at 0.00 μB per cell. The value obtained for the theoretical density is 6.547 g cm⁻³. The formation energy without anion corrections comes out at -1.89 eV per atom.



# 4
SmPu2PaSb4: relaxed, PBE.

The structure belongs to space group P2/m (No. 10); the cell edges are 7.651, 4.434 and 7.671 Å and the angles 90.00°, 109.51° and 90.00°. The distinct sites, in fractional coordinates, are Sm at (0.000, 0.000, 0.000), Pu at (0.500, 0.000, 0.500), Pu at (0.500, 0.500, 0.000), Pa at (0.000, 0.500, 0.500), Sb at (0.247, 0.000, 0.745) and Sb at (0.250, 0.500, 0.255).

The calculation puts the magnetization at 11.60 μB per cell. The value obtained for the theoretical density is 9.183 g cm⁻³. The formation energy without anion corrections comes out at -0.73 eV per atom.



# 5
Pm12Mg5Hg3: relaxed, PBE.

The structure belongs to space group Ia-3d (No. 230); the cell edges are 18.275, 18.275 and 18.275 Å and the angles 90.00°, 90.00° and 90.00°. The distinct sites, in fractional coordinates, are Pm at (0.007, 0.077, 0.650), Mg at (0.000, 0.000, 0.000), Mg at (0.000, 0.250, 0.375) and Hg at (0.000, 0.250, 0.125).

The calculation puts the magnetization at 0.00 μB per cell. As for the uncorrected energy: -459.357 eV/cell. The value obtained for the theoretical density is 5.361 g cm⁻³.



# 6
Mg6VCo: relaxed, PBE.

The structure belongs to space group Amm2 (No. 38); the cell edges are 4.668, 5.951 and 10.966 Å and the angles 90.00°, 90.00° and 90.00°. The distinct sites, in fractional coordinates, are Mg at (0.000, 0.000, 0.000), Mg at (0.000, 0.239, 0.256), Mg at (0.500, 0.000, 0.842), Mg at (0.500, 0.241, 0.594), V at (0.500, 0.000, 0.368) and Co at (0.000, 0.000, 0.470).

The calculation puts the magnetization at 1.11 μB per cell. The value obtained for the theoretical density is 2.788 g cm⁻³. The calculation puts the energy above the most stable polymorph in this dataset at 0 meV/atom.



Repeat the third record exactly.
PaTcSb2O8: relaxed, PBE.

The structure belongs to space group P-1 (No. 2); the cell edges are 5.213, 5.217 and 6.544 Å and the angles 87.88°, 87.97° and 88.21°. The distinct sites, in fractional coordinates, are Pa at (0.000, 0.000, 0.000), Tc at (0.000, 0.000, 0.500), Sb at (0.492, 0.491, 0.253), O at (0.164, 0.786, 0.251), O at (0.216, 0.839, 0.749), O at (0.235, 0.238, 0.448) and O at (0.318, 0.320, 0.020).

The calculation puts the magnetization at 0.00 μB per cell. The value obtained for the theoretical density is 6.547 g cm⁻³. The formation energy without anion corrections comes out at -1.89 eV per atom.